No. 1
VASP calculation (GGA-PBE) on Ba2Mg3CdIn4 after structural relaxation.

Properties
Total magnetic moment: 0.00 Bohr magnetons per cell
Energy relative to the elements: -2.9 eV/f.u.

Cell lengths 4.953, 4.953, 12.252 Å; angles 90.00, 90.00, 90.00 degrees
Positions (direct):
Ba (0.000, 0.500, 0.248)
Ba (0.500, 0.000, 0.752)
Mg (0.000, 0.000, 0.000)
Mg (0.000, 0.500, 0.634)
Mg (0.500, 0.000, 0.366)
Cd (0.500, 0.500, 0.000)
In (0.000, 0.000, 0.500)
In (0.000, 0.500, 0.868)
In (0.500, 0.000, 0.132)
In (0.500, 0.500, 0.500)

***

No. 2
VASP calculation (GGA-PBE) on Hg2TeBr after structural relaxation.

Properties
Total magnetic moment: 0.00 Bohr magnetons per cell
E above lowest polymorph: 0.206 eV per atom
Formation energy from raw total energies: -0.05 eV per atom

Cell lengths 6.162, 8.878, 5.382 Å; angles 90.00, 124.65, 90.00 degrees
Positions (direct):
Hg (0.250, 0.250, 0.000)
Hg (0.250, 0.750, 0.000)
Hg (0.750, 0.250, 0.000)
Hg (0.750, 0.750, 0.000)
Te (0.000, 0.000, 0.500)
Te (0.500, 0.500, 0.500)
Br (0.000, 0.500, 0.500)
Br (0.500, 0.000, 0.500)

***

No. 3
VASP calculation (GGA-PBE) on K3BrF6 after structural relaxation.

Properties
Total magnetic moment: 0.39 Bohr magnetons per cell
Formation energy from raw total energies: -2.07 eV per atom

Cell lengths 4.246, 7.207, 14.014 Å; angles 90.00, 104.90, 90.00 degrees
Positions (direct):
K (0.000, 0.000, 0.000)
K (0.000, 0.500, 0.500)
K (0.303, 0.186, 0.748)
K (0.303, 0.314, 0.248)
K (0.697, 0.686, 0.752)
K (0.697, 0.814, 0.252)
Br (0.500, 0.000, 0.500)
Br (0.500, 0.500, 0.000)
F (0.139, 0.519, 0.689)
F (0.139, 0.981, 0.189)
F (0.291, 0.588, 0.099)
F (0.291, 0.912, 0.599)
F (0.486, 0.749, 0.448)
F (0.486, 0.751, 0.948)
F (0.514, 0.249, 0.052)
F (0.514, 0.251, 0.552)
F (0.709, 0.088, 0.401)
F (0.709, 0.412, 0.901)
F (0.861, 0.019, 0.811)
F (0.861, 0.481, 0.311)

***

No. 4
VASP calculation (GGA-PBE) on Ho5BeTe4 after structural relaxation.

Properties
Total magnetic moment: 0.00 Bohr magnetons per cell
Formation energy from raw total energies: -1.02 eV per atom

Cell lengths 7.434, 7.434, 7.434 Å; angles 99.52, 99.52, 132.00 degrees
Positions (direct):
Ho (0.000, 0.000, 0.000)
Ho (0.233, 0.405, 0.640)
Ho (0.405, 0.764, 0.172)
Ho (0.593, 0.233, 0.828)
Ho (0.764, 0.593, 0.360)
Be (0.498, 0.498, 0.000)
Te (0.087, 0.691, 0.780)
Te (0.307, 0.087, 0.396)
Te (0.691, 0.911, 0.604)
Te (0.911, 0.307, 0.220)

***

No. 5
VASP calculation (GGA-PBE) on CaNiOs4 after structural relaxation.

Properties
Total magnetic moment: 0.58 Bohr magnetons per cell
Energy relative to the elements: 3.4 eV/f.u.

Cell lengths 5.216, 5.216, 5.216 Å; angles 60.00, 60.00, 60.00 degrees
Positions (direct):
Ca (0.000, 0.000, 0.000)
Ni (0.750, 0.750, 0.750)
Os (0.376, 0.376, 0.376)
Os (0.376, 0.376, 0.873)
Os (0.376, 0.873, 0.376)
Os (0.873, 0.376, 0.376)

***

No. 6
VASP calculation (GGA-PBE) on TiCdGeO5 after structural relaxation.

Properties
Total magnetic moment: 0.00 Bohr magnetons per cell
Formation energy from raw total energies: -2.02 eV per atom

Cell lengths 5.595, 5.595, 7.280 Å; angles 104.50, 104.50, 105.44 degrees
Positions (direct):
Ti (0.000, 0.000, 0.000)
Ti (0.000, 0.000, 0.500)
Cd (0.323, 0.677, 0.750)
Cd (0.677, 0.323, 0.250)
Ge (0.322, 0.678, 0.250)
Ge (0.678, 0.322, 0.750)
O (0.067, 0.933, 0.750)
O (0.108, 0.687, 0.393)
O (0.259, 0.361, 0.084)
O (0.313, 0.892, 0.107)
O (0.361, 0.259, 0.584)
O (0.639, 0.741, 0.416)
O (0.687, 0.108, 0.893)
O (0.741, 0.639, 0.916)
O (0.892, 0.313, 0.607)
O (0.933, 0.067, 0.250)

***

No. 7
VASP calculation (GGA-PBE) on NaUO4 after structural relaxation.

Properties
Total magnetic moment: 1.65 Bohr magnetons per cell
E above lowest polymorph: 0.115 eV per atom
Formation energy from raw total energies: -2.32 eV per atom

Cell lengths 6.356, 6.356, 6.356 Å; angles 129.44, 129.44, 74.31 degrees
Positions (direct):
Na (0.375, 0.625, 0.750)
Na (0.625, 0.375, 0.250)
U (0.125, 0.875, 0.250)
U (0.875, 0.125, 0.750)
O (0.000, 0.220, 0.220)
O (0.000, 0.780, 0.780)
O (0.220, 0.000, 0.720)
O (0.220, 0.500, 0.220)
O (0.500, 0.220, 0.720)
O (0.500, 0.780, 0.280)
O (0.780, 0.000, 0.280)
O (0.780, 0.500, 0.780)

***

No. 8
VASP calculation (GGA-PBE) on U3Sn5Te12 after structural relaxation.

Properties
Total magnetic moment: 30.24 Bohr magnetons per cell
Formation energy from raw total energies: -0.27 eV per atom

Cell lengths 15.615, 15.615, 15.615 Å; angles 109.47, 109.47, 109.47 degrees
Positions (direct):
U (0.125, 0.250, 0.375)
U (0.125, 0.375, 0.750)
U (0.250, 0.375, 0.125)
U (0.250, 0.875, 0.625)
U (0.375, 0.125, 0.250)
U (0.375, 0.750, 0.125)
U (0.625, 0.250, 0.875)
U (0.625, 0.875, 0.750)
U (0.750, 0.125, 0.375)
U (0.750, 0.625, 0.875)
U (0.875, 0.625, 0.250)
U (0.875, 0.750, 0.625)
Sn (0.000, 0.000, 0.000)
Sn (0.000, 0.000, 0.500)
Sn (0.000, 0.500, 0.000)
Sn (0.000, 0.500, 0.500)
Sn (0.125, 0.750, 0.875)
Sn (0.125, 0.875, 0.250)
Sn (0.250, 0.125, 0.875)
Sn (0.250, 0.625, 0.375)
Sn (0.375, 0.250, 0.625)
Sn (0.375, 0.625, 0.750)
Sn (0.500, 0.000, 0.000)
Sn (0.500, 0.000, 0.500)
Sn (0.500, 0.500, 0.000)
Sn (0.500, 0.500, 0.500)
Sn (0.625, 0.375, 0.250)
Sn (0.625, 0.750, 0.375)
Sn (0.750, 0.375, 0.625)
Sn (0.750, 0.875, 0.125)
Sn (0.875, 0.125, 0.750)
Sn (0.875, 0.250, 0.125)
Te (0.055, 0.224, 0.140)
Te (0.055, 0.331, 0.915)
Te (0.084, 0.724, 0.669)
Te (0.084, 0.860, 0.415)
Te (0.085, 0.640, 0.416)
Te (0.085, 0.945, 0.669)
Te (0.140, 0.055, 0.224)
Te (0.140, 0.585, 0.916)
Te (0.169, 0.224, 0.584)
Te (0.169, 0.445, 0.585)
Te (0.224, 0.140, 0.055)
Te (0.224, 0.584, 0.169)
Te (0.276, 0.331, 0.916)
Te (0.276, 0.445, 0.360)
Te (0.331, 0.915, 0.055)
Te (0.331, 0.916, 0.276)
Te (0.360, 0.276, 0.445)
Te (0.360, 0.584, 0.915)
Te (0.415, 0.084, 0.860)
Te (0.415, 0.831, 0.555)
Te (0.416, 0.085, 0.640)
Te (0.416, 0.831, 0.776)
Te (0.445, 0.360, 0.276)
Te (0.445, 0.585, 0.169)
Te (0.555, 0.415, 0.831)
Te (0.555, 0.640, 0.724)
Te (0.584, 0.169, 0.224)
Te (0.584, 0.915, 0.360)
Te (0.585, 0.169, 0.445)
Te (0.585, 0.916, 0.140)
Te (0.640, 0.416, 0.085)
Te (0.640, 0.724, 0.555)
Te (0.669, 0.084, 0.724)
Te (0.669, 0.085, 0.945)
Te (0.724, 0.555, 0.640)
Te (0.724, 0.669, 0.084)
Te (0.776, 0.416, 0.831)
Te (0.776, 0.860, 0.945)
Te (0.831, 0.555, 0.415)
Te (0.831, 0.776, 0.416)
Te (0.860, 0.415, 0.084)
Te (0.860, 0.945, 0.776)
Te (0.915, 0.055, 0.331)
Te (0.915, 0.360, 0.584)
Te (0.916, 0.140, 0.585)
Te (0.916, 0.276, 0.331)
Te (0.945, 0.669, 0.085)
Te (0.945, 0.776, 0.860)